K3AlPd | GGA-PBE | optimized geometry

Values from the calculation:
Its symmetry is Pm-3m (221). The value obtained for the total moment is 0.000 Bohr magnetons per cell. Its formation energy is 3.7 eV/f.u.

a b c (Å): 6.4026 6.4026 6.4026
angles (deg): 90.00 90.00 90.00
With the nearest neighbours (Å) after each atom.
Fractional coordinates of all 5 atoms:
Al1 0.0000 0.0000 0.0000  6 K 3.20
K1 0.0000 0.5000 0.0000  2 Al 3.20
K2 0.5000 0.0000 0.0000  2 Al 3.20
K3 0.0000 0.0000 0.5000  2 Al 3.20
Pd1 0.5000 0.5000 0.5000  12 K 4.53